1.
! GGA-PBE DyHCl3, optimized geometry; values from VASP
&SYSTEM
  ibrav = 0, nat = 20, ntyp = 3
/
ATOMIC_SPECIES
Dy 162.50 Dy.upf
Cl 35.45 Cl.upf
H 1.01 H.upf
ATOMIC_POSITIONS angstrom
Dy 5.5924 2.4883 4.5324
Cl 4.6091 2.3274 2.0602
Cl 1.3985 4.6936 0.8017
Cl 4.1934 4.6936 4.9916
Cl 3.3178 5.8080 8.4276
H -0.5082 0.6202 5.9456
Dy -0.0005 2.4883 1.2610
Cl 0.2313 7.3574 6.5500
Cl -0.3085 5.8080 10.1006
Cl 4.0693 0.7780 5.6108
Cl 2.9021 3.4418 11.3590
H -1.7995 7.5153 12.3130
Cl 0.1072 3.4418 7.1691
Cl 0.9828 2.3274 3.7331
H 6.1001 0.6202 -0.1522
Cl 2.7780 7.3574 11.9782
Dy -1.2918 5.6471 7.6284
Dy 4.3011 5.6471 10.8998
Cl 1.5226 0.7780 0.1826
H 4.8088 7.5153 6.2152
CELL_PARAMETERS angstrom
6.8832 0.0000 -0.5740
0.0000 8.1355 0.0000
-2.5826 0.0000 12.7348
! **ρ**: 2.557 g/cm³
! **Raw total energy**: -4.04 eV/atom

2.
! GGA-PBE DyHCl3, optimized geometry; values from VASP
&SYSTEM
  ibrav = 0, nat = 20, ntyp = 3
/
ATOMIC_SPECIES
Cl 35.45 Cl.upf
Dy 162.50 Dy.upf
H 1.01 H.upf
ATOMIC_POSITIONS angstrom
Cl 1.7985 3.9102 3.6301
Cl 5.3765 0.3885 8.7861
Dy 5.3818 2.9349 8.0132
Dy 1.7933 4.1102 6.2854
Cl 7.0347 4.9900 7.9240
Cl 3.7382 2.2779 6.0539
Cl 3.4369 5.8004 13.2033
Cl 1.7985 6.6566 5.5125
Cl 0.1404 1.4674 0.7747
Cl 7.0347 5.5777 13.5239
Cl 3.4369 4.7673 8.2447
H 5.4936 4.9771 4.3518
Cl 5.3765 3.1349 10.6685
Dy 1.7933 6.4566 2.8573
Cl 3.7382 1.2447 1.0954
Dy 5.3818 0.5885 11.4413
H 1.6815 2.0680 9.9468
Cl 0.1404 2.0551 6.3746
H 5.4936 5.5898 4.7908
H 1.6815 1.4554 9.5078
CELL_PARAMETERS angstrom
7.1751 0.0000 0.0000
0.0000 7.0443 1.9933
0.0000 0.0008 12.3053
! **DOS(E_F)**: 0.00 states/eV/cell
! **ρ**: 2.882 g/cm³
! **Raw total energy**: -4.51 eV/atom

3.
! GGA-PBE DyHCl4, optimized geometry; values from VASP
&SYSTEM
  ibrav = 0, nat = 12, ntyp = 3
/
ATOMIC_SPECIES
Cl 35.45 Cl.upf
H 1.01 H.upf
Dy 162.50 Dy.upf
ATOMIC_POSITIONS angstrom
Cl 2.1887 4.7237 7.9252
Cl 5.3561 3.6855 5.6004
H -0.9321 5.2613 5.1917
Cl 1.8622 3.3889 4.1325
Cl -1.3052 4.4270 6.4572
Cl 4.7599 2.0463 8.1848
Cl 1.2579 0.9718 7.1693
Cl -0.7090 6.0662 3.8729
Cl 2.7930 7.1408 4.8884
Dy 2.3012 2.3855 9.1702
H 4.9830 2.8512 6.8660
Dy 1.7497 5.7271 2.8875
CELL_PARAMETERS angstrom
-1.4611 6.8526 0.3324
-2.0056 -0.2734 5.8004
7.5176 1.5333 5.9249
! **DOS(E_F)**: 0.00 states/eV/cell
! **ρ**: 2.565 g/cm³
! **Raw total energy**: -4.22 eV/atom

4.
! GGA-PBE Dy2HCl3, optimized geometry; values from VASP
&SYSTEM
  ibrav = 0, nat = 12, ntyp = 3
/
ATOMIC_SPECIES
Cl 35.45 Cl.upf
Dy 162.50 Dy.upf
H 1.01 H.upf
ATOMIC_POSITIONS angstrom
Cl -6.5517 -4.7636 5.3792
Cl -2.5454 -1.0158 1.7877
Cl -1.0852 -7.7187 1.7712
Dy -4.0343 -3.3902 1.7249
Dy -3.6026 -9.0921 5.4254
H -3.6722 -7.8142 3.5657
H -3.9647 -4.6681 3.5846
Cl -6.2637 -8.2599 5.3571
Cl -5.0915 -11.4665 5.3626
Dy -5.4141 -6.4249 3.5283
Dy -2.2228 -6.0574 3.6221
Cl -1.3732 -4.2224 1.7933
CELL_PARAMETERS angstrom
-0.1060 -0.0323 3.7343
-7.8675 -2.8423 1.6208
0.3366 -9.6077 1.7952
! **DOS(E_F)**: 4.04 states/eV/cell
! **ρ**: 5.051 g/cm³
! **Raw total energy**: -4.66 eV/atom

5.
! GGA-PBE DyH2Cl3, optimized geometry; values from VASP
&SYSTEM
  ibrav = 0, nat = 12, ntyp = 3
/
ATOMIC_SPECIES
Dy 162.50 Dy.upf
Cl 35.45 Cl.upf
H 1.01 H.upf
ATOMIC_POSITIONS angstrom
Dy -1.1967 -5.4859 1.9640
Cl -1.5779 -2.0996 -6.8238
H -4.2419 -3.9024 4.5337
Dy -5.5265 -1.1023 -0.4364
H -3.2629 -6.3453 -1.6933
Cl -4.3486 -0.8312 7.0419
Cl -3.5518 2.8262 5.7323
H -2.4813 -2.6858 -3.0061
Cl -3.7612 -5.1226 1.4184
Cl -2.3746 -5.7570 -5.5142
H -3.4602 -0.2429 3.2209
Cl -2.9620 -1.4656 0.1093
CELL_PARAMETERS angstrom
-3.8086 3.4671 7.3658
-1.3211 -2.7404 -8.4573
-1.5935 -7.3149 2.6191
! **DOS(E_F)**: 0.00 states/eV/cell
! **ρ**: 2.494 g/cm³
! **Raw total energy**: -3.56 eV/atom

6.
! GGA-PBE DyHICl, optimized geometry; values from VASP
&SYSTEM
  ibrav = 0, nat = 4, ntyp = 4
/
ATOMIC_SPECIES
I 126.90 I.upf
Dy 162.50 Dy.upf
H 1.01 H.upf
Cl 35.45 Cl.upf
ATOMIC_POSITIONS angstrom
I -2.7022 1.4268 -0.0456
Dy -2.0012 -1.3534 -1.2682
H -1.5450 -1.2529 0.9255
Cl -5.0240 3.4493 5.0160
CELL_PARAMETERS angstrom
-1.6604 -1.8062 -3.0093
-0.1415 -1.5895 3.5395
-5.4843 5.4754 2.2271
! **DOS(E_F)**: 0.00 states/eV/cell
! **ρ**: 5.352 g/cm³
! **Raw total energy**: -4.31 eV/atom

7.
! GGA-PBE DyHgCl3, optimized geometry; values from VASP
&SYSTEM
  ibrav = 0, nat = 5, ntyp = 3
/
ATOMIC_SPECIES
Dy 162.50 Dy.upf
Cl 35.45 Cl.upf
Hg 200.59 Hg.upf
ATOMIC_POSITIONS angstrom
Dy 0.0000 0.0000 0.0000
Cl -1.7555 -0.5611 1.9282
Hg -1.6250 -4.2111 0.9850
Cl 1.4838 -2.0882 0.7433
Cl -1.3532 -1.5618 -1.6865
CELL_PARAMETERS angstrom
-3.5111 -1.1221 3.8564
-2.7064 -3.1236 -3.3730
2.9676 -4.1764 1.4866
! **ΔE_f (raw)**: -1.7097 eV/atom
! **DOS(E_F)**: 0.00 states/eV/cell
! **ρ**: 5.135 g/cm³
! **Raw total energy**: -3.80 eV/atom

8.
! GGA-PBE NaDyHgCl6, optimized geometry; values from VASP
&SYSTEM
  ibrav = 0, nat = 18, ntyp = 4
/
ATOMIC_SPECIES
Na 22.99 Na.upf
Cl 35.45 Cl.upf
Dy 162.50 Dy.upf
Hg 200.59 Hg.upf
ATOMIC_POSITIONS angstrom
Na 0.0000 0.0000 0.0000
Cl 1.2431 2.0683 4.6915
Na 0.0000 0.0000 6.3458
Dy 3.4252 1.9775 3.1729
Cl 5.6073 2.0683 1.6543
Hg 3.4252 1.9775 9.5186
Dy 0.0000 3.9551 9.5186
Cl 1.1697 2.1107 11.0372
Cl -1.1697 2.1107 8.0001
Cl -2.1821 3.8642 11.0372
Cl 2.4128 0.0424 1.6543
Cl 1.0124 5.8902 11.0372
Cl -1.0124 5.8902 8.0001
Cl 2.2555 3.8219 1.6543
Hg 0.0000 3.9551 3.1729
Cl 4.5949 3.8219 4.6915
Cl 4.4376 0.0424 4.6915
Cl 2.1821 3.8642 8.0001
CELL_PARAMETERS angstrom
6.8504 0.0000 0.0000
-3.4252 5.9326 0.0000
0.0000 0.0000 12.6915
! **ΔE_f (raw)**: -1.5956 eV/atom
! **DOS(E_F)**: 0.00 states/eV/cell
! **ρ**: 3.856 g/cm³
! **Raw total energy**: -3.52 eV/atom